Record 1
First-principles (GGA-PBE) data for crystalline YHf2Ti at its relaxed geometry, as listed in Alexandria.

The value obtained for the excess energy over the best structure of this formula in the dataset is 172.8 meV/atom. The total energy is -8.223 eV per atom. As for the formation energy: 1.38 eV/f.u. For the calculated volume, the calculation gives 92 Å³/f.u. Its density is 8921 kg/m³.

The space group is Fm-3m (No. 225) and the conventional cell measures 7.1637, 7.1637 and 7.1637 Å, with angles of 90.00, 90.00 and 90.00 degrees. Symmetry generates all atoms from Y at (0.0000, 0.0000, 0.0000), Hf at (0.2500, 0.2500, 0.2500) and Ti at (0.0000, 0.0000, 0.5000).

---

Record 2
First-principles (GGA-PBE) data for crystalline NdSnSb2 at its relaxed geometry, as listed in Alexandria.

The value obtained for the excess energy over the best structure of this formula in the dataset is 13.9 meV/atom. The total energy is -4.778 eV per atom. For the calculated volume, the calculation gives 115 Å³/f.u. Its density is 7298 kg/m³.

The space group is I4/mcm (No. 140) and the conventional cell measures 7.7365, 7.7365 and 7.7010 Å, with angles of 90.00, 90.00 and 90.00 degrees. Symmetry generates all atoms from Nd at (0.0000, 0.0000, 0.2500), Sn at (0.0000, 0.5000, 0.2500) and Sb at (0.2130, 0.2870, 0.0000).

---

Record 3
First-principles (GGA-PBE) data for crystalline Ba6Li3Br14 at its relaxed geometry, as listed in Alexandria.

The total energy is -3.725 eV per atom. For the calculated volume, the calculation gives 783 Å³/f.u. Its density is 4166 kg/m³.

The space group is P3 (No. 143) and the conventional cell measures 11.7942, 11.7942 and 6.4968 Å, with angles of 90.00, 90.00 and 120.00 degrees. Symmetry generates all atoms from Ba at (0.0350, 0.5747, 0.0000), Ba at (0.2980, 0.0890, 0.5065), Li at (0.0000, 0.0000, 0.9249), Li at (0.3333, 0.6667, 0.4200), Li at (0.6667, 0.3333, 0.2604), Br at (0.0000, 0.0000, 0.3037), Br at (0.0685, 0.8437, 0.7787), Br at (0.1796, 0.4413, 0.2752), Br at (0.3333, 0.6667, 0.7988), Br at (0.4344, 0.1799, 0.0226) and Br at (0.5116, 0.4104, 0.4947).

---

Record 4
First-principles (GGA-PBE) data for crystalline Sm7Er4Sc at its relaxed geometry, as listed in Alexandria.

The value obtained for the excess energy over the best structure of this formula in the dataset is 204.7 meV/atom. The total energy is -4.581 eV per atom. As for the formation energy: 2.64 eV/f.u. For the calculated volume, the calculation gives 392 Å³/f.u. Its density is 7488 kg/m³.

The space group is C2/m (No. 12) and the conventional cell measures 16.0548, 5.8633 and 9.3001 Å, with angles of 90.00, 116.49 and 90.00 degrees. Symmetry generates all atoms from Sm at (0.0000, 0.0000, 0.0000), Sm at (0.0789, 0.5000, 0.4335), Sm at (0.2029, 0.5000, 0.2217), Sm at (0.2098, 0.5000, 0.8750), Er at (0.0744, 0.0000, 0.6971), Er at (0.1748, 0.0000, 0.3954) and Sc at (0.0000, 0.5000, 0.0000).

---

Record 5
First-principles (GGA-PBE) data for crystalline Hf2Zr3Sn2 at its relaxed geometry, as listed in Alexandria.

The value obtained for the excess energy over the best structure of this formula in the dataset is 158.7 meV/atom. The total energy is -7.646 eV per atom. As for the formation energy: 0.04 eV/f.u. For the calculated volume, the calculation gives 156 Å³/f.u. Its density is 9226 kg/m³.

The space group is P2/m (No. 10) and the conventional cell measures 5.0651, 3.0589 and 10.3947 Å, with angles of 90.00, 104.06 and 90.00 degrees. Symmetry generates all atoms from Hf at (0.0722, 0.0000, 0.1451), Zr at (0.2152, 0.0000, 0.4296), Zr at (0.5000, 0.0000, 0.0000) and Sn at (0.3578, 0.5000, 0.7157).

---

Record 6
First-principles (GGA-PBE) data for crystalline TmPu3In12 at its relaxed geometry, as listed in Alexandria.

The total energy is -5.275 eV per atom. As for the formation energy: -4.07 eV/f.u. For the calculated volume, the calculation gives 401 Å³/f.u. Its density is 9447 kg/m³.

The space group is P4/mmm (No. 123) and the conventional cell measures 4.6413, 4.6413 and 18.5934 Å, with angles of 90.00, 90.00 and 90.00 degrees. Symmetry generates all atoms from Tm at (0.0000, 0.0000, 0.0000), Pu at (0.0000, 0.0000, 0.2478), Pu at (0.0000, 0.0000, 0.5000), In at (0.0000, 0.5000, 0.1236), In at (0.0000, 0.5000, 0.3743), In at (0.5000, 0.5000, 0.0000), In at (0.5000, 0.5000, 0.2494) and In at (0.5000, 0.5000, 0.5000).

---

Question: Which value of calculated volume does entry 5 give?
Answer: 156 Å³/f.u.